# 1
Material: FeRe2
Method: DFT, PBE-GGA
State: relaxed

Properties
**Energy**: -0.794 Ry per atom
**Crystal system**: hexagonal
**Space group**: P-62m, No. 189
**Total magnetic moment**: 0.0 μB per formula unit
**Energy of formation**: 0.315 eV per atom

a = 6.133 Å, b = 6.133 Å, c = 3.839 Å
α = 90.00°, β = 90.00°, γ = 120.00°
Fractional coordinates of all 9 atoms:
Fe 0.000 0.000 0.000
Fe 0.333 0.667 0.500
Fe 0.667 0.333 0.500
Re 0.000 0.256 0.500
Re 0.000 0.586 0.000
Re 0.256 0.000 0.500
Re 0.414 0.414 0.000
Re 0.586 0.000 0.000
Re 0.744 0.744 0.500


# 2
Material: FeRe
Method: DFT, PBE-GGA
State: relaxed

Properties
**Energy**: -0.715 Ry per atom
**Crystal system**: hexagonal
**Space group**: P6_3/mmc, No. 194
**Total magnetic moment**: 0.0 μB per formula unit
**Energy of formation**: 0.730 eV per atom

a = 3.687 Å, b = 3.687 Å, c = 4.790 Å
α = 90.00°, β = 90.00°, γ = 120.00°
Fractional coordinates of all 4 atoms:
Fe 0.000 0.000 0.000
Fe 0.000 0.000 0.500
Re 0.333 0.667 0.250
Re 0.667 0.333 0.750


# 3
Material: Fe8Re
Method: DFT, PBE-GGA
State: relaxed

Properties
**Energy**: -0.645 Ry per atom
**Crystal system**: tetragonal
**Space group**: I4/mmm, No. 139
**Total magnetic moment**: 7.1 μB per formula unit
**Energy of formation**: 0.124 eV per atom

a = 5.591 Å, b = 5.591 Å, c = 5.591 Å
α = 95.77°, β = 95.77°, γ = 143.03°
Fractional coordinates of all 9 atoms:
Fe 0.000 0.341 0.341
Fe 0.000 0.659 0.659
Fe 0.329 0.329 0.658
Fe 0.329 0.671 0.000
Fe 0.341 0.000 0.341
Fe 0.659 0.000 0.659
Fe 0.671 0.329 0.000
Fe 0.671 0.671 0.342
Re 0.000 0.000 0.000


# 4
Material: FeRe2
Method: DFT, PBE-GGA
State: relaxed

Properties
**Energy**: -0.742 Ry per atom
**Crystal system**: cubic
**Space group**: Pa-3, No. 205
**Total magnetic moment**: 1.1 μB per formula unit
**Energy of formation**: 1.019 eV per atom

a = 5.712 Å, b = 5.712 Å, c = 5.712 Å
α = 90.00°, β = 90.00°, γ = 90.00°
Fractional coordinates of all 12 atoms:
Fe 0.000 0.000 0.000
Fe 0.000 0.500 0.500
Fe 0.500 0.000 0.500
Fe 0.500 0.500 0.000
Re 0.122 0.622 0.878
Re 0.122 0.878 0.378
Re 0.378 0.122 0.878
Re 0.378 0.378 0.378
Re 0.622 0.622 0.622
Re 0.622 0.878 0.122
Re 0.878 0.122 0.622
Re 0.878 0.378 0.122


# 5
Material: FeRe
Method: DFT, PBE-GGA
State: relaxed

Properties
**Energy**: -0.763 Ry per atom
**Crystal system**: monoclinic
**Space group**: C2/m, No. 12
**Total magnetic moment**: 0.0 μB per formula unit
**Energy of formation**: 0.074 eV per atom

a = 4.938 Å, b = 4.938 Å, c = 4.540 Å
α = 115.82°, β = 115.82°, γ = 31.21°
Fractional coordinates of all 4 atoms:
Fe 0.129 0.129 0.300
Fe 0.871 0.871 0.700
Re 0.381 0.381 0.211
Re 0.619 0.619 0.789


# 6
Material: FeRe
Method: DFT, PBE-GGA
State: relaxed

Properties
**Energy**: -0.761 Ry per atom
**Crystal system**: tetragonal
**Space group**: I4_1/amd, No. 141
**Total magnetic moment**: 0.0 μB per formula unit
**Energy of formation**: 0.095 eV per atom

a = 4.561 Å, b = 4.561 Å, c = 4.561 Å
α = 132.10°, β = 132.10°, γ = 70.07°
Fractional coordinates of all 4 atoms:
Fe 0.375 0.625 0.750
Fe 0.625 0.375 0.250
Re 0.125 0.875 0.250
Re 0.875 0.125 0.750


# 7
Material: Fe5Re3
Method: DFT, PBE-GGA
State: relaxed

Properties
**Energy**: -0.717 Ry per atom
**Crystal system**: monoclinic
**Space group**: P2_1/m, No. 11
**Energy relative to the lowest polymorph listed for this composition**: 141 meV/atom
**Total magnetic moment**: 4.9 μB per formula unit
**Energy of formation**: 0.208 eV per atom

a = 5.714 Å, b = 4.649 Å, c = 8.312 Å
α = 90.00°, β = 108.86°, γ = 90.00°
Fractional coordinates of all 16 atoms:
Fe 0.006 0.250 0.238
Fe 0.124 0.250 0.984
Fe 0.255 0.750 0.247
Fe 0.353 0.001 0.724
Fe 0.353 0.499 0.724
Fe 0.647 0.501 0.276
Fe 0.647 0.999 0.276
Fe 0.745 0.250 0.753
Fe 0.876 0.750 0.016
Fe 0.994 0.750 0.762
Re 0.037 0.750 0.446
Re 0.388 0.750 0.999
Re 0.412 0.250 0.444
Re 0.588 0.750 0.556
Re 0.612 0.250 0.001
Re 0.963 0.250 0.554


# 8
Material: FeRe
Method: DFT, PBE-GGA
State: relaxed

Properties
**Energy**: -0.764 Ry per atom
**Crystal system**: orthorhombic
**Space group**: Cmcm, No. 63
**Total magnetic moment**: 0.8 μB per formula unit
**Energy of formation**: 0.063 eV per atom

a = 5.003 Å, b = 5.003 Å, c = 4.025 Å
α = 90.00°, β = 90.00°, γ = 149.47°
Fractional coordinates of all 4 atoms:
Fe 0.063 0.937 0.750
Fe 0.937 0.063 0.250
Re 0.330 0.670 0.750
Re 0.670 0.330 0.250


# 9
Material: FeRe2
Method: DFT, PBE-GGA
State: relaxed

Properties
**Energy**: -0.818 Ry per atom
**Crystal system**: tetragonal
**Space group**: I4/mcm, No. 140
**Total magnetic moment**: 0.0 μB per formula unit
**Energy of formation**: -0.013 eV per atom

a = 4.778 Å, b = 4.778 Å, c = 4.778 Å
α = 103.94°, β = 103.94°, γ = 121.20°
Fractional coordinates of all 6 atoms:
Fe 0.250 0.250 0.000
Fe 0.750 0.750 0.000
Re 0.152 0.652 0.803
Re 0.348 0.152 0.500
Re 0.652 0.848 0.500
Re 0.848 0.348 0.197


# 10
Material: Fe4Re5
Method: DFT, PBE-GGA
State: relaxed

Properties
**Energy**: -0.777 Ry per atom
**Crystal system**: tetragonal
**Space group**: I4/mmm, No. 139
**Energy relative to the lowest polymorph listed for this composition**: 0 meV/atom
**Total magnetic moment**: 6.4 μB per formula unit
**Energy of formation**: 0.106 eV per atom

a = 5.937 Å, b = 5.937 Å, c = 5.937 Å
α = 95.92°, β = 95.92°, γ = 142.53°
Fractional coordinates of all 9 atoms:
Fe 0.000 0.340 0.340
Fe 0.000 0.660 0.660
Fe 0.340 0.000 0.340
Fe 0.660 0.000 0.660
Re 0.000 0.000 0.000
Re 0.330 0.330 0.660
Re 0.330 0.670 0.000
Re 0.670 0.330 0.000
Re 0.670 0.670 0.340


# 11
Material: FeRe
Method: DFT, PBE-GGA
State: relaxed

Properties
**Energy**: -0.637 Ry per atom
**Crystal system**: cubic
**Space group**: I-43m, No. 217
**Total magnetic moment**: 0.0 μB per formula unit
**Energy of formation**: 1.792 eV per atom

a = 6.255 Å, b = 6.255 Å, c = 6.255 Å
α = 109.47°, β = 109.47°, γ = 109.47°
Fractional coordinates of all 8 atoms:
Fe 0.000 0.000 0.652
Fe 0.000 0.652 0.000
Fe 0.348 0.348 0.348
Fe 0.652 0.000 0.000
Re 0.000 0.000 0.285
Re 0.000 0.285 0.000
Re 0.285 0.000 0.000
Re 0.715 0.715 0.715


# 12
Material: FeRe
Method: DFT, PBE-GGA
State: relaxed

Properties
**Energy**: -0.762 Ry per atom
**Crystal system**: orthorhombic
**Space group**: Pmmn, No. 59
**Total magnetic moment**: 0.0 μB per formula unit
**Energy of formation**: 0.092 eV per atom

a = 2.669 Å, b = 4.221 Å, c = 4.584 Å
α = 90.00°, β = 90.00°, γ = 90.00°
Fractional coordinates of all 4 atoms:
Fe 0.250 0.250 0.075
Fe 0.750 0.750 0.925
Re 0.250 0.750 0.396
Re 0.750 0.250 0.604